A relaxed structure of KReIr3. Source: the Alexandria database, functional GGA-PBE.

Summary:
Formation enthalpy at 0 K ... 3591 meV/atom
Energy relative to the lowest polymorph listed for this composition ... 2305 meV per atom

a b c (Å): 4.533 4.533 4.533
angles (deg): 90.00 90.00 90.00
Space group Pm-3m (No. 221)
Asymmetric unit:
K (0.000, 0.000, 0.000) [1 per cell]
Re (0.500, 0.500, 0.500) [1 per cell]
Ir (0.000, 0.000, 0.500) [3 per cell]


A relaxed structure of TlAs2Pt2. Source: the Alexandria database, functional GGA-PBE.

Summary:
Formation enthalpy at 0 K ... -159 meV/atom
Energy relative to the lowest polymorph listed for this composition ... 40 meV per atom

a b c (Å): 4.643 4.643 9.825
angles (deg): 90.00 90.00 90.00
Space group I4/mmm (No. 139)
Asymmetric unit:
Tl (0.000, 0.000, 0.000) [2 per cell]
As (0.000, 0.500, 0.250) [4 per cell]
Pt (0.000, 0.000, 0.358) [4 per cell]


A relaxed structure of KTl2RuCl6. Source: the Alexandria database, functional GGA-PBE.

Summary:
ΔE_f (raw) ... -0.988 eV per atom

a b c (Å): 7.078 10.651 8.378
angles (deg): 90.00 90.00 90.00
Space group Pmmn (No. 59, origin choice 2)
Asymmetric unit:
K (0.250, 0.250, 0.186) [2 per cell]
Tl (0.250, 0.048, 0.678) [4 per cell]
Ru (0.250, 0.750, 0.303) [2 per cell]
Cl (0.009, 0.750, 0.107) [4 per cell]
Cl (0.012, 0.750, 0.505) [4 per cell]
Cl (0.250, 0.527, 0.305) [4 per cell]


A relaxed structure of InSb2PdI. Source: the Alexandria database, functional GGA-PBE.

Summary:
ΔE_f (raw) ... 0.921 eV per atom
Energy relative to the lowest polymorph listed for this composition ... 703 meV per atom

a b c (Å): 5.592 5.592 5.856
angles (deg): 90.00 90.00 90.00
Space group P4/mmm (No. 123)
Asymmetric unit:
In (0.000, 0.000, 0.000) [1 per cell]
Sb (0.000, 0.500, 0.000) [2 per cell]
Pd (0.500, 0.500, 0.500) [1 per cell]
I (0.000, 0.000, 0.500) [1 per cell]


Calculated volume readings, ordered: 18.63; 21.18; 31.58; 36.62 A^3/atom